# AsRu2Pt PBE optimized geometry
# Calculated formation energy = 1.37 eV per formula unit
# Total DFT energy (no corrections) = -0.256 hartree per atom
data_AsRu2Pt
_chemical_formula_sum 'As2 Ru4 Pt2'
_symmetry_space_group_name_H-M 'C m m m'
_symmetry_Int_Tables_number 65
_symmetry_space_group_name_Hall '-C 2 2'
_cell_length_a 2.8843
_cell_length_b 4.9204
_cell_length_c 8.5941
_cell_angle_alpha 90.00
_cell_angle_beta 90.00
_cell_angle_gamma 90.00
loop_
_atom_site_label
_atom_site_fract_x
_atom_site_fract_y
_atom_site_fract_z
As1 0.0000 0.0000 0.0000
Ru1 0.0000 0.5000 0.2266
Pt1 0.0000 0.0000 0.5000